Entry 1:
MgCuPb2 | PBE | optimized geometry Values from VASP.

Results
The total energy is -12.5 eV for the cell shown. As for the space-group type: No. 12. The density of states at the Fermi level is 1.85 states/eV per cell. The value obtained for the total magnetic moment is 0.000 μB per formula unit. The value obtained for the formation energy is 0.156 eV/atom.

```
&SYSTEM
  ibrav = 0, nat = 4, ntyp = 3
/
ATOMIC_SPECIES
Mg 24.30 Mg.upf
Cu 63.55 Cu.upf
Pb 207.20 Pb.upf
ATOMIC_POSITIONS crystal
Mg 0.000 0.000 0.000
Cu 0.500 0.500 0.500
Pb 0.238 0.238 0.715
Pb 0.762 0.762 0.285
CELL_PARAMETERS angstrom
4.308 -1.775 0.000
4.308 1.775 0.000
-1.471 0.000 6.423
```

***

Entry 2:
HoMnGa | PBE | optimized geometry Values from VASP.

Results
The total energy is -52.1 eV for the cell shown. As for the space-group type: No. 189. The density of states at the Fermi level is 7.25 states/eV per cell. The value obtained for the total magnetic moment is 3.180 μB per formula unit. The value obtained for the formation energy is -0.200 eV/atom.

```
&SYSTEM
  ibrav = 0, nat = 9, ntyp = 3
/
ATOMIC_SPECIES
Ho 164.93 Ho.upf
Mn 54.94 Mn.upf
Ga 69.72 Ga.upf
ATOMIC_POSITIONS crystal
Ho 0.000 0.604 0.000
Ho 0.396 0.396 0.000
Ho 0.604 0.000 0.000
Mn 0.000 0.000 0.000
Mn 0.333 0.667 0.500
Mn 0.667 0.333 0.500
Ga 0.000 0.276 0.500
Ga 0.276 0.000 0.500
Ga 0.724 0.724 0.500
CELL_PARAMETERS angstrom
7.471 0.000 0.000
-3.735 6.470 0.000
0.000 0.000 3.622
```

***

Entry 3:
Y3GaBr | PBE | optimized geometry Values from VASP.

Results
For the uncorrected formation energy, the calculation gives -0.122 eV/atom. The total energy is -24.7 eV for the cell shown. As for the space-group type: No. 221. The density of states at the Fermi level is 8.43 states/eV per cell. The value obtained for the total magnetic moment is 0.000 μB per formula unit. The polymorph energy (0 for the lowest one) comes out at 0.0 meV/atom.

```
&SYSTEM
  ibrav = 0, nat = 5, ntyp = 3
/
ATOMIC_SPECIES
Y 88.91 Y.upf
Ga 69.72 Ga.upf
Br 79.90 Br.upf
ATOMIC_POSITIONS crystal
Y 0.000 0.000 0.500
Y 0.000 0.500 0.000
Y 0.500 0.000 0.000
Ga 0.500 0.500 0.500
Br 0.000 0.000 0.000
CELL_PARAMETERS angstrom
5.293 0.000 0.000
0.000 5.293 0.000
0.000 0.000 5.293
```

***

Entry 4:
Cs4Pm3ThSe8 | PBE | optimized geometry Values from VASP.

Results
For the uncorrected formation energy, the calculation gives -1.685 eV/atom. The total energy is -79.9 eV for the cell shown. As for the space-group type: No. 166. The density of states at the Fermi level is 4.65 states/eV per cell. The value obtained for the total magnetic moment is 0.000 μB per formula unit.

```
&SYSTEM
  ibrav = 0, nat = 16, ntyp = 4
/
ATOMIC_SPECIES
Cs 132.91 Cs.upf
Pm 145.00 Pm.upf
Th 232.04 Th.upf
Se 78.96 Se.upf
ATOMIC_POSITIONS crystal
Cs 0.000 0.000 0.000
Cs 0.000 0.500 0.500
Cs 0.500 0.000 0.500
Cs 0.500 0.500 0.000
Pm 0.000 0.000 0.500
Pm 0.000 0.500 0.000
Pm 0.500 0.000 0.000
Th 0.500 0.500 0.500
Se 0.230 0.230 0.230
Se 0.235 0.728 0.728
Se 0.272 0.272 0.765
Se 0.272 0.765 0.272
Se 0.728 0.235 0.728
Se 0.728 0.728 0.235
Se 0.765 0.272 0.272
Se 0.770 0.770 0.770
CELL_PARAMETERS angstrom
4.356 2.515 8.426
-4.356 2.515 8.426
0.000 -5.029 8.426
```

***

Entry 5:
KSm2PuO6 | PBE | optimized geometry Values from VASP.

Results
For the uncorrected formation energy, the calculation gives -2.919 eV/atom. The total energy is -83.8 eV for the cell shown. As for the space-group type: No. 146. The density of states at the Fermi level is 10.62 states/eV per cell. The value obtained for the total magnetic moment is 3.000 μB per formula unit.

```
&SYSTEM
  ibrav = 0, nat = 10, ntyp = 4
/
ATOMIC_SPECIES
K 39.10 K.upf
Sm 150.36 Sm.upf
Pu 244.00 Pu.upf
O 16.00 O.upf
ATOMIC_POSITIONS crystal
K 0.000 0.000 0.000
Sm 0.225 0.225 0.225
Sm 0.741 0.741 0.741
Pu 0.534 0.534 0.534
O 0.151 0.465 0.800
O 0.395 0.911 0.564
O 0.465 0.800 0.151
O 0.564 0.395 0.911
O 0.800 0.151 0.465
O 0.911 0.564 0.395
CELL_PARAMETERS angstrom
3.024 1.746 5.315
-3.024 1.746 5.315
0.000 -3.492 5.315
```

***

Entry 6:
AcMg9Al2 | PBE | optimized geometry Values from VASP.

Results
The total energy is -53.6 eV for the cell shown. As for the space-group type: No. 141. The density of states at the Fermi level is 12.52 states/eV per cell. The value obtained for the total magnetic moment is 0.000 μB per formula unit. The value obtained for the formation energy is -0.070 eV/atom.

```
&SYSTEM
  ibrav = 0, nat = 24, ntyp = 3
/
ATOMIC_SPECIES
Ac 227.00 Ac.upf
Mg 24.30 Mg.upf
Al 26.98 Al.upf
ATOMIC_POSITIONS crystal
Ac 0.375 0.625 0.750
Ac 0.625 0.375 0.250
Mg 0.125 0.875 0.250
Mg 0.134 0.560 0.329
Mg 0.134 0.804 0.573
Mg 0.196 0.269 0.329
Mg 0.196 0.866 0.927
Mg 0.269 0.196 0.829
Mg 0.269 0.440 0.073
Mg 0.440 0.269 0.573
Mg 0.440 0.866 0.171
Mg 0.560 0.134 0.829
Mg 0.560 0.731 0.427
Mg 0.731 0.560 0.927
Mg 0.731 0.804 0.171
Mg 0.804 0.134 0.073
Mg 0.804 0.731 0.671
Mg 0.866 0.196 0.427
Mg 0.866 0.440 0.671
Mg 0.875 0.125 0.750
Al 0.000 0.000 0.000
Al 0.000 0.000 0.500
Al 0.000 0.500 0.000
Al 0.500 0.000 0.500
CELL_PARAMETERS angstrom
-6.043 6.043 3.905
6.043 -6.043 3.905
6.043 6.043 -3.905
```

***

Entry 7:
NpSi4Ir6 | PBE | optimized geometry Values from VASP.

Results
For the uncorrected formation energy, the calculation gives -0.706 eV/atom. The total energy is -95.6 eV for the cell shown. As for the space-group type: No. 187. The density of states at the Fermi level is 11.21 states/eV per cell. The value obtained for the total magnetic moment is 3.459 μB per formula unit.

```
&SYSTEM
  ibrav = 0, nat = 11, ntyp = 3
/
ATOMIC_SPECIES
Np 237.00 Np.upf
Si 28.09 Si.upf
Ir 192.22 Ir.upf
ATOMIC_POSITIONS crystal
Np 0.000 0.000 0.000
Si 0.198 0.396 0.500
Si 0.198 0.802 0.500
Si 0.604 0.802 0.500
Si 0.667 0.333 0.000
Ir 0.066 0.533 0.000
Ir 0.394 0.197 0.500
Ir 0.467 0.533 0.000
Ir 0.467 0.934 0.000
Ir 0.803 0.197 0.500
Ir 0.803 0.606 0.500
CELL_PARAMETERS angstrom
7.043 0.000 0.000
-3.521 6.099 0.000
0.000 0.000 3.844
```

***

Entry 8:
Pa2OsC | PBE | optimized geometry Values from VASP.

Results
The total energy is -39.5 eV for the cell shown. As for the space-group type: No. 123. The density of states at the Fermi level is 5.85 states/eV per cell. The value obtained for the total magnetic moment is 0.001 μB per formula unit. The value obtained for the formation energy is -0.024 eV/atom. The polymorph energy (0 for the lowest one) comes out at 181.7 meV/atom.

```
&SYSTEM
  ibrav = 0, nat = 4, ntyp = 3
/
ATOMIC_SPECIES
Pa 231.04 Pa.upf
Os 190.23 Os.upf
C 12.01 C.upf
ATOMIC_POSITIONS crystal
Pa 0.000 0.000 0.213
Pa 0.000 0.000 0.787
Os 0.500 0.500 0.500
C 0.500 0.500 0.000
CELL_PARAMETERS angstrom
3.123 0.000 0.000
0.000 3.123 0.000
0.000 0.000 6.943
```